Record 1
The following is a PBE calculation of a geometry-optimized La2TeP structure, from Alexandria via LeMat-Bulk.

Lattice parameters (Å, degrees): 4.3576 4.3576 7.8690 73.94 73.94 60.01
Fractional positions:
P 0.7500 0.7500 0.7500
La 0.4886 0.4886 0.5340
La 0.0114 0.0114 0.9660
Te 0.2500 0.2500 0.2500

Values from the calculation:
Formation energy without anion corrections: -1665 meV/atom
E above lowest polymorph: 0 meV per atom
Space group: R-3m (166)



Record 2
The following is a PBE calculation of a geometry-optimized Tm2InNi structure, from Alexandria via LeMat-Bulk.

Lattice parameters (Å, degrees): 3.4039 3.4039 7.6172 90.00 90.00 90.00
Fractional positions:
Ni 0.5000 0.5000 0.0000
In 0.5000 0.5000 0.5000
Tm 0.0000 0.0000 0.2123
Tm 0.0000 0.0000 0.7877

Values from the calculation:
E above lowest polymorph: 0 meV per atom
Space group: P4/mmm (123)
Energy of formation: -458.6 meV per atom